# Ca2ZrGe, optimized geometry, DFT PBE-GGA
# - Energy relative to the elements: 80.3 kJ/mol of formula units
# - Symmetry: I-42d
data_Ca2ZrGe
_cell_length_a 9.6180
_cell_length_b 9.6180
_cell_length_c 7.3373
_cell_angle_alpha 49.05
_cell_angle_beta 49.05
_cell_angle_gamma 90.00
_space_group_name_H-M_alt 'P 1'
_space_group_IT_number 1
loop_
_space_group_symop_operation_xyz
'x,y,z'
loop_
_atom_site_label
_atom_site_fract_x
_atom_site_fract_y
_atom_site_fract_z
Ge1 0.5000 0.5000 0.0000
Ge2 0.2500 0.7500 0.5000
Ca1 0.5256 0.1250 0.2500
Ca2 0.2244 0.6250 0.2500
Ca3 0.3750 0.4744 0.7500
Ca4 0.8750 0.7756 0.7500
Zr1 0.0000 0.0000 0.0000
Zr2 0.7500 0.2500 0.5000